(1)
RbRhNF2 | PBE | optimized geometry

Cell lengths 4.5796, 4.5796, 3.6890 Å; angles 90.00, 90.00, 90.00 degrees
Fractional positions:
Rh: 0.0000 0.0000 0.0000
F: 0.5000 0.0000 0.0000
F: 0.0000 0.5000 0.0000
N: 0.0000 0.0000 0.5000
Rb: 0.5000 0.5000 0.5000

## Properties
- polymorph energy (0 for the lowest one) (meV per atom) = 0.0
- final energy (eV/cell) = -25.729
- uncorrected formation energy (meV per atom) = -1068

---

(2)
RbRhN2F | PBE | optimized geometry

Cell lengths 3.7797, 3.7797, 6.2747 Å; angles 90.00, 90.00, 90.00 degrees
Fractional positions:
Rh: 0.0000 0.0000 0.0000
N: 0.5000 0.0000 0.0000
N: 0.0000 0.5000 0.0000
Rb: 0.5000 0.5000 0.5000
F: 0.0000 0.0000 0.5000

## Properties
- polymorph energy (0 for the lowest one) (meV per atom) = 0.0
- final energy (eV/cell) = -26.962
- uncorrected formation energy (meV per atom) = -24

---

(3)
RbRhN2F | PBE | optimized geometry

Cell lengths 4.5035, 4.5035, 4.7700 Å; angles 90.00, 90.00, 90.00 degrees
Fractional positions:
N: 0.5000 0.0000 0.0000
N: 0.0000 0.5000 0.0000
Rb: 0.0000 0.0000 0.0000
Rh: 0.5000 0.5000 0.5000
F: 0.0000 0.0000 0.5000

## Properties
- polymorph energy (0 for the lowest one) (meV per atom) = 2509.8
- final energy (eV/cell) = -14.413
- uncorrected formation energy (meV per atom) = 2486

---

(4)
RbRhNF2 | PBE | optimized geometry

Cell lengths 5.0733, 5.0733, 5.2077 Å; angles 90.00, 90.00, 90.00 degrees
Fractional positions:
F: 0.0000 0.5000 0.0000
F: 0.5000 0.0000 0.0000
Rh: 0.5000 0.5000 0.5000
Rb: 0.0000 0.0000 0.0000
N: 0.0000 0.0000 0.5000

## Properties
- polymorph energy (0 for the lowest one) (meV per atom) = 1870.5
- final energy (eV/cell) = -16.376
- uncorrected formation energy (meV per atom) = 802

---

(5)
RbRuNF2 | PBE | optimized geometry

Cell lengths 4.4841, 4.4841, 3.7333 Å; angles 90.00, 90.00, 90.00 degrees
Fractional positions:
Ru: 0.0000 0.0000 0.0000
F: 0.5000 0.0000 0.0000
F: 0.0000 0.5000 0.0000
Rb: 0.5000 0.5000 0.5000
N: 0.0000 0.0000 0.5000

## Properties
- polymorph energy (0 for the lowest one) (meV per atom) = 0.0
- final energy (eV/cell) = -27.868
- uncorrected formation energy (meV per atom) = -1111

---

(6)
RbRuN2F | PBE | optimized geometry

Cell lengths 4.4192, 4.4192, 4.6615 Å; angles 90.00, 90.00, 90.00 degrees
Fractional positions:
N: 0.0000 0.5000 0.0000
N: 0.5000 0.0000 0.0000
F: 0.0000 0.0000 0.5000
Ru: 0.5000 0.5000 0.5000
Rb: 0.0000 0.0000 0.0000

## Properties
- polymorph energy (0 for the lowest one) (meV per atom) = 2722.5
- final energy (eV/cell) = -16.131
- uncorrected formation energy (meV per atom) = 2527

---

(7)
RbRuN2F | PBE | optimized geometry

Cell lengths 3.8367, 3.8367, 4.9822 Å; angles 90.00, 90.00, 90.00 degrees
Fractional positions:
N: 0.5000 0.0000 0.0000
N: 0.0000 0.5000 0.0000
F: 0.0000 0.0000 0.5000
Rb: 0.5000 0.5000 0.5000
Ru: 0.0000 0.0000 0.0000

## Properties
- polymorph energy (0 for the lowest one) (meV per atom) = 0.0
- final energy (eV/cell) = -29.743
- uncorrected formation energy (meV per atom) = -196

---

(8)
Rb2RuNF6 | PBE | optimized geometry

Cell lengths 5.6946, 5.6946, 6.4529 Å; angles 63.82, 63.82, 90.00 degrees
Fractional positions:
F: 0.2508 0.7492 0.0000
F: 0.7492 0.2508 0.0000
F: 0.2508 0.2508 0.0000
F: 0.7492 0.7492 0.0000
F: 0.8028 0.8028 0.3945
F: 0.1972 0.1972 0.6055
Rb: 0.2500 0.7500 0.5000
Rb: 0.7500 0.2500 0.5000
Ru: 0.0000 0.0000 0.0000
N: 0.5000 0.5000 0.0000

## Properties
- final energy (eV/cell) = -43.547
- uncorrected formation energy (meV per atom) = -1278

---

no.,D(E_F) (states/eV per cell)
1,1.65
2,3.45
3,10.13
4,6.21
5,3.10
6,4.65
7,1.74
8,22.29